Material: MnAg2Pt
Method: DFT, PBE
State: optimized geometry

Computed properties:
volume	66.9	Å³/f.u.
formation enthalpy at 0 K	0.11	eV per atom
electronic total energy	-20.49	eV/cell
polymorph energy (0 for the lowest one)	151	meV per atom

Cell: 4.556 4.556 4.556 Å, 60.00 60.00 60.00°
Fractional coordinates of all 4 atoms:
Mn  0.000  0.000  0.000
Pt  0.500  0.500  0.500
Ag  0.250  0.250  0.250
Ag  0.750  0.750  0.750